DFT (PBE-GGA) results for a geometry-optimized NbMo structure.

Computed properties:
The total magnetization comes out at 0.02 μB per cell. The calculation puts the formation energy at 2.141 eV per atom.

```
16
Lattice="8.044 0.000 0.000 0.000 8.044 0.000 0.000 0.000 8.044" Properties=species:S:1:pos:R:3 pbc="T T T"
Mo 1.010 1.010 7.034
Mo 3.012 3.012 3.012
Mo 7.034 7.034 7.034
Mo 7.034 1.010 1.010
Mo 5.032 5.032 3.012
Mo 1.010 7.034 1.010
Mo 5.032 3.012 5.032
Mo 3.012 5.032 5.032
Nb 1.429 1.429 1.429
Nb 5.451 2.593 2.593
Nb 2.593 5.451 2.593
Nb 1.429 6.615 6.615
Nb 6.615 1.429 6.615
Nb 6.615 6.615 1.429
Nb 5.451 5.451 5.451
Nb 2.593 2.593 5.451
```

***

DFT (PBE-GGA) results for a geometry-optimized Tb2Mn16Os structure.

Computed properties:
The total magnetization comes out at 4.99 μB per cell. The calculation puts the formation energy at -0.001 eV per atom.

```
19
Lattice="6.332 -0.126 0.573 0.512 6.312 0.573 -0.140 -0.126 6.356" Properties=species:S:1:pos:R:3 pbc="T T T"
Mn 5.688 2.083 2.961
Mn 1.659 -0.116 4.757
Mn 1.029 3.958 4.523
Mn 2.646 5.449 2.961
Mn 6.441 2.905 7.207
Mn 6.766 6.115 4.324
Mn 4.042 0.625 4.523
Mn 3.539 6.115 7.207
Mn 4.542 -0.116 2.181
Mn 0.051 1.662 4.757
Mn 4.379 3.958 1.530
Mn 0.692 0.626 0.774
Mn 4.722 1.662 0.584
Mn 0.342 4.530 2.181
Mn 2.129 4.530 0.584
Mn 2.305 2.083 5.984
Tb 2.383 2.154 2.667
Tb 4.314 3.899 4.827
Os 6.025 5.446 6.743
```

***

DFT (PBE-GGA) results for a geometry-optimized Sn2CSeF structure.

Computed properties:
The total magnetization comes out at 1.24 μB per cell. The calculation puts the energy relative to the elements, uncorrected at 0.74 eV per atom. Its offset from the most stable computed form is 2.49 eV/f.u.

```
5
Lattice="-2.166 -4.474 -1.244 3.128 -0.880 -2.282 2.295 -2.224 4.005" Properties=species:S:1:pos:R:3 pbc="T T T"
C 1.564 -0.440 -1.141
F 0.000 0.000 0.000
Sn 1.148 -1.112 2.002
Sn -1.083 -2.237 -0.622
Se 1.629 -3.789 0.240
```

***

DFT (PBE-GGA) results for a geometry-optimized BaAsIrRh2 structure.

Computed properties:
The total magnetization comes out at 0.93 μB per cell. The calculation puts the formation energy at 0.764 eV per atom.

```
5
Lattice="4.554 0.000 0.000 0.000 5.973 0.000 0.000 0.000 4.554" Properties=species:S:1:pos:R:3 pbc="T T T"
Ba 0.000 2.987 0.000
Ir 2.277 2.987 2.277
As 0.000 0.000 0.000
Rh 2.277 0.000 0.000
Rh 0.000 0.000 2.277
```

***

DFT (PBE-GGA) results for a geometry-optimized Ta2CdHg structure.

Computed properties:
The total magnetization comes out at 0.00 μB per cell. The calculation puts the formation energy at 0.337 eV per atom. Its offset from the most stable computed form is 0.68 eV/f.u.

```
4
Lattice="-1.779 4.856 1.558 0.213 0.943 5.314 3.444 -1.818 -3.742" Properties=species:S:1:pos:R:3 pbc="T T T"
Ta 0.000 0.000 0.000
Ta -0.783 2.899 3.436
Cd 0.441 2.969 0.626
Hg 1.437 1.012 2.504
```

***

DFT (PBE-GGA) results for a geometry-optimized CuSi3 structure.

Computed properties:
The total magnetization comes out at 0.00 μB per cell. The calculation puts the energy relative to the elements, uncorrected at 0.43 eV per atom.

```
4
Lattice="-2.350 3.153 -1.782 -4.259 -0.500 -0.499 -2.741 2.285 2.429" Properties=species:S:1:pos:R:3 pbc="T T T"
Si -7.012 3.703 0.111
Si -2.337 1.234 0.037
Si -4.675 2.469 0.074
Cu 0.000 0.000 0.000
```

***

DFT (PBE-GGA) results for a geometry-optimized CdHg2P structure.

Computed properties:
The total magnetization comes out at 0.00 μB per cell. The calculation puts the formation energy at 0.344 eV per atom. Its offset from the most stable computed form is 1.07 eV/f.u.

```
4
Lattice="2.794 0.000 0.000 0.000 5.822 0.000 0.000 0.000 5.511" Properties=species:S:1:pos:R:3 pbc="T T T"
P 1.397 0.000 2.755
Cd 0.000 2.911 2.755
Hg 1.397 2.911 0.000
Hg 0.000 0.000 0.000
```

***

DFT (PBE-GGA) results for a geometry-optimized ZrCdIn3 structure.

Computed properties:
The total magnetization comes out at 0.00 μB per cell. The calculation puts the formation energy at 0.782 eV per atom. Its offset from the most stable computed form is 0.93 eV/f.u.

```
5
Lattice="-4.557 0.740 2.632 -2.005 -4.382 -2.240 1.859 -2.914 4.037" Properties=species:S:1:pos:R:3 pbc="T T T"
In -1.003 -2.191 -1.120
In -2.279 0.370 1.316
In 0.929 -1.457 2.019
Zr -2.352 -3.278 2.215
Cd 0.000 0.000 0.000
```

***

DFT (PBE-GGA) results for a geometry-optimized Y4PW structure.

Computed properties:
The total magnetization comes out at 0.00 μB per cell. The calculation puts the formation energy at 0.973 eV per atom.

```
6
Lattice="-0.445 -4.996 -3.249 -3.656 -4.390 1.755 -5.000 -1.131 -3.071" Properties=species:S:1:pos:R:3 pbc="T T T"
Y -5.931 -4.500 -3.259
Y -5.250 -6.150 -0.816
Y -3.624 -6.457 -3.350
Y -3.398 -3.927 -1.704
W 0.000 0.000 0.000
P -6.826 -7.888 -3.424
```

***

DFT (PBE-GGA) results for a geometry-optimized DyMgPb structure.

Computed properties:
The total magnetization comes out at 0.00 μB per cell. The calculation puts the formation energy at -0.324 eV per atom.

```
12
Lattice="-1.549 1.014 4.157 1.227 -5.945 1.908 10.203 3.085 3.048" Properties=species:S:1:pos:R:3 pbc="T T T"
Mg 2.858 -0.715 1.239
Mg 3.472 -3.687 2.193
Mg 7.185 1.335 4.841
Mg 7.799 -1.638 5.795
Dy 0.429 -2.287 3.208
Dy 3.738 1.871 3.426
Dy 6.305 -1.252 2.654
Dy 9.614 2.907 2.872
Pb 0.617 0.928 2.494
Pb 9.426 -0.308 3.587
Pb 6.492 1.963 1.940
Pb 3.551 -1.343 4.141
```

***

DFT (PBE-GGA) results for a geometry-optimized La2Ag2I structure.

Computed properties:
The total magnetization comes out at 0.00 μB per cell. The calculation puts the energy relative to the elements, uncorrected at -0.35 eV per atom. Its offset from the most stable computed form is 0.52 eV/f.u.

```
5
Lattice="3.952 0.000 0.000 0.000 3.952 0.000 1.976 1.976 9.226" Properties=species:S:1:pos:R:3 pbc="T T T"
Ag 1.976 3.952 4.613
Ag 3.952 1.976 4.613
I 0.000 0.000 0.000
La 1.976 1.976 2.064
La 3.952 3.952 7.163
```

***

DFT (PBE-GGA) results for a geometry-optimized AsRhCl2 structure.

Computed properties:
The total magnetization comes out at 0.00 μB per cell. The calculation puts the energy relative to the elements, uncorrected at 0.33 eV per atom. Its offset from the most stable computed form is 3.71 eV/f.u.

```
4
Lattice="-1.672 2.525 -0.366 -0.668 -1.205 -5.257 -3.550 -2.213 0.958" Properties=species:S:1:pos:R:3 pbc="T T T"
Cl 0.000 0.000 0.000
Cl -1.170 0.660 -2.812
Rh -2.611 0.156 0.296
As -2.109 -1.709 -2.149
```